(1)
A geometry-optimized CeGdEr structure. Source: Alexandria, functional GGA-PBE.

- total moment (μB/f.u.) = 6.79
- excess energy over the best structure of this formula in the dataset (eV per atom) = 0.0070
- DFT total energy (eV/atom) = -8.123
- formation enthalpy at 0 K (eV/atom) = 0.07

The structure in POSCAR format:
```
CeGdEr
1.0
-1.761 1.761 7.405
1.761 -1.761 7.405
1.761 1.761 -7.405
Ce Gd Er
1 1 1
Cartesian
0.000 0.000 0.000 Ce
0.000 0.000 9.805 Gd
0.000 0.000 5.013 Er
```

=====

(2)
A geometry-optimized CeGdErHg structure. Source: Alexandria, functional GGA-PBE.

- total moment (μB/f.u.) = 10.73
- DFT total energy (eV/atom) = -6.238
- formation enthalpy at 0 K (eV/atom) = -0.02

The structure in POSCAR format:
```
CeGdErHg
1.0
0.000 3.796 3.796
3.796 0.000 3.796
3.796 3.796 0.000
Ce Gd Er Hg
1 1 1 1
Cartesian
0.000 0.000 0.000 Ce
5.694 5.694 5.694 Gd
1.898 1.898 1.898 Er
3.796 3.796 3.796 Hg
```

=====

(3)
A geometry-optimized CeGdHoEr structure. Source: Alexandria, functional GGA-PBE.

- total moment (μB/f.u.) = 6.77
- DFT total energy (eV/atom) = -7.104
- formation enthalpy at 0 K (eV/atom) = 0.18

The structure in POSCAR format:
```
CeGdHoEr
1.0
0.000 3.985 3.985
3.985 0.000 3.985
3.985 3.985 0.000
Ce Gd Ho Er
1 1 1 1
Cartesian
0.000 0.000 0.000 Ce
5.977 5.977 5.977 Gd
1.992 1.992 1.992 Ho
3.985 3.985 3.985 Er
```

=====

Which of these has the lowest formation enthalpy at 0 K?
CeGdErHg

=====

Repeat the first record exactly.
A geometry-optimized CeGdEr structure. Source: Alexandria, functional GGA-PBE.

- total moment (μB/f.u.) = 6.79
- excess energy over the best structure of this formula in the dataset (eV per atom) = 0.0070
- DFT total energy (eV/atom) = -8.123
- formation enthalpy at 0 K (eV/atom) = 0.07

The structure in POSCAR format:
```
CeGdEr
1.0
-1.761 1.761 7.405
1.761 -1.761 7.405
1.761 1.761 -7.405
Ce Gd Er
1 1 1
Cartesian
0.000 0.000 0.000 Ce
0.000 0.000 9.805 Gd
0.000 0.000 5.013 Er
```

=====

Which value of total moment does entry 2 give?
10.73 μB/f.u.

=====

Which value of DFT total energy does entry 3 give?
-7.104 eV/atom